[1]
CdIn2Pt after structural relaxation. Source: Alexandria, functional GGA-PBE.

Calculated values
Crystal system ... monoclinic
Symmetry ... P2_1/m (11)

abc: 4.0693 8.6642 5.3342
angles: 90.00 112.02 90.00
Last column: nearest neighbours and their distance in Å.
Fractional positions:
Cd  0.0635  0.2500  0.1233  3 Pt 2.85-2.93
Cd  0.9365  0.7500  0.8767  3 Pt 2.85-2.93
In  0.3572  0.0506  0.7173  3 Pt 2.80-2.92, 3 In 2.93-3.09
In  0.3572  0.4494  0.7173  3 Pt 2.80-2.92, 3 In 2.93-3.09
In  0.6428  0.5506  0.2827  3 Pt 2.80-2.92, 3 In 2.93-3.09
In  0.6428  0.9494  0.2827  3 Pt 2.80-2.92, 3 In 2.93-3.09
Pt  0.2256  0.7500  0.4525  6 In 2.80-2.92, 3 Cd 2.85-2.93
Pt  0.7744  0.2500  0.5475  6 In 2.80-2.92, 3 Cd 2.85-2.93



[2]
Cd4InPt15 after structural relaxation. Source: Alexandria, functional GGA-PBE.

Calculated values
Crystal system ... tetragonal
Symmetry ... P4/mmm (123)

abc: 4.0366 4.0366 20.2738
angles: 90.00 90.00 90.00
Last column: nearest neighbours and their distance in Å.
Fractional positions:
Cd  0.0000  0.0000  0.1000  12 Pt 2.85-2.86
Cd  0.0000  0.0000  0.2998  12 Pt 2.85-2.87
Cd  0.0000  0.0000  0.7002  12 Pt 2.85-2.87
Cd  0.0000  0.0000  0.9000  12 Pt 2.85-2.86
In  0.0000  0.0000  0.5000  12 Pt 2.85-2.86
Pt  0.0000  0.5000  0.0000  8 Pt 2.85-2.86, 4 Cd 2.86
Pt  0.0000  0.5000  0.1997  8 Pt 2.85-2.86, 4 Cd 2.86
Pt  0.0000  0.5000  0.4002  8 Pt 2.85-2.87, 2 In 2.86, 2 Cd 2.87
Pt  0.0000  0.5000  0.5998  8 Pt 2.85-2.87, 2 In 2.86, 2 Cd 2.87
Pt  0.0000  0.5000  0.8003  8 Pt 2.85-2.86, 4 Cd 2.86
Pt  0.5000  0.0000  0.0000  8 Pt 2.85-2.86, 4 Cd 2.86
Pt  0.5000  0.0000  0.1997  8 Pt 2.85-2.86, 4 Cd 2.86
Pt  0.5000  0.0000  0.4002  8 Pt 2.85-2.87, 2 In 2.86, 2 Cd 2.87
Pt  0.5000  0.0000  0.5998  8 Pt 2.85-2.87, 2 In 2.86, 2 Cd 2.87
Pt  0.5000  0.0000  0.8003  8 Pt 2.85-2.86, 4 Cd 2.86
Pt  0.5000  0.5000  0.0997  4 Cd 2.85, 8 Pt 2.86
Pt  0.5000  0.5000  0.2998  4 Cd 2.85, 8 Pt 2.86-2.87
Pt  0.5000  0.5000  0.5000  4 In 2.85, 8 Pt 2.86
Pt  0.5000  0.5000  0.7002  4 Cd 2.85, 8 Pt 2.86-2.87
Pt  0.5000  0.5000  0.9003  4 Cd 2.85, 8 Pt 2.86



Looking at raw total energy for the records above, in order, we have -3.41, -5.07 eV per atom.
Looking at energy of formation for the records above, in order, we have -305, -219 meV/atom.
Looking at magnetization for the records above, in order, we have 0.0, 0.0 μB/cell.